(1)
Material: Th7Bi2Os2
Method: DFT, PBE
State: optimized geometry

Output
crystal system: orthorhombic
E_form: -3.89 eV/f.u.
density of states at the Fermi level: 13.56 states/eV/f.u.
energy relative to the lowest polymorph listed for this composition: 0 meV/atom

Cell lengths 3.995, 16.457, 10.014 Å; angles 90.00, 90.00, 90.00 degrees
Space group Imm2 (No. 44)
Inequivalent atoms, fractional coordinates:
Th1 0.000 0.000 0.000 x2
Th2 0.000 0.138 0.573 x4
Th3 0.000 0.319 0.370 x4
Th4 0.000 0.347 0.736 x4
Bi1 0.000 0.000 0.331 x2
Bi2 0.000 0.500 0.225 x2
Os1 0.000 0.230 0.061 x4


(2)
Material: Th5Bi2Os
Method: DFT, PBE
State: optimized geometry

Output
crystal system: orthorhombic
E_form: 0.72 eV/f.u.
density of states at the Fermi level: 11.28 states/eV/f.u.
energy relative to the lowest polymorph listed for this composition: 525 meV/atom

Cell lengths 5.879, 16.093, 13.230 Å; angles 90.00, 90.00, 90.00 degrees
Space group Cmcm (No. 63)
Inequivalent atoms, fractional coordinates:
Th1 0.000 0.063 0.104 x8
Th2 0.000 0.292 0.075 x8
Th3 0.000 0.317 0.750 x4
Bi1 0.000 0.143 0.618 x8
Os1 0.000 0.183 0.250 x4


(3)
Material: Th4BiOs2
Method: DFT, PBE
State: optimized geometry

Output
crystal system: tetragonal
E_form: -2.15 eV/f.u.
density of states at the Fermi level: 6.24 states/eV/f.u.
energy relative to the lowest polymorph listed for this composition: 126 meV/atom

Cell lengths 9.398, 9.398, 9.057 Å; angles 90.00, 90.00, 90.00 degrees
Space group I-42d (No. 122)
Inequivalent atoms, fractional coordinates:
Th1 0.065 0.178 0.339 x16
Bi1 0.000 0.000 0.000 x4
Os1 0.100 0.250 0.625 x8


(4)
Material: Th6BiOs3
Method: DFT, PBE
State: optimized geometry

Output
crystal system: monoclinic
E_form: -3.62 eV/f.u.
density of states at the Fermi level: 7.47 states/eV/f.u.

Cell lengths 11.879, 4.272, 12.205 Å; angles 90.00, 106.32, 90.00 degrees
Space group P2_1/m (No. 11)
Inequivalent atoms, fractional coordinates:
Th1 0.019 0.250 0.389 x2
Th2 0.111 0.250 0.958 x2
Th3 0.198 0.750 0.260 x2
Th4 0.280 0.750 0.776 x2
Th5 0.341 0.250 0.544 x2
Th6 0.420 0.750 0.089 x2
Bi1 0.445 0.250 0.315 x2
Os1 0.031 0.250 0.165 x2
Os2 0.175 0.750 0.495 x2
Os3 0.345 0.250 0.924 x2


(5)
Material: Th5BiOs2
Method: DFT, PBE
State: optimized geometry

Output
crystal system: tetragonal
E_form: -3.08 eV/f.u.
density of states at the Fermi level: 8.10 states/eV/f.u.

Cell lengths 7.996, 7.996, 14.286 Å; angles 90.00, 90.00, 90.00 degrees
Space group I4/mcm (No. 140)
Inequivalent atoms, fractional coordinates:
Th1 0.000 0.000 0.000 x4
Th2 0.157 0.343 0.130 x16
Bi1 0.000 0.000 0.250 x4
Os1 0.143 0.357 0.500 x8


(6)
Material: Th12Bi5Os2
Method: DFT, PBE
State: optimized geometry

Output
crystal system: monoclinic
E_form: -2.20 eV/f.u.
density of states at the Fermi level: 29.17 states/eV/f.u.

Cell lengths 18.607, 7.618, 9.929 Å; angles 90.00, 107.59, 90.00 degrees
Space group C2/m (No. 12)
Inequivalent atoms, fractional coordinates:
Th1 0.005 0.000 0.182 x4
Th2 0.010 0.500 0.258 x4
Th3 0.138 0.257 0.542 x8
Th4 0.151 0.251 0.073 x8
Bi1 0.000 0.000 0.500 x2
Bi2 0.190 0.500 0.827 x4
Bi3 0.215 0.500 0.355 x4
Os1 0.000 0.305 0.000 x4